# SCAN MnP2H8O10, PBEsol geometry
# Crystal system: monoclinic
# Size of the total moment, Bohr magnetons per cell: 10.00
# DOS at the Fermi energy, states/eV/f.u.: 0.00
# VASP energy, eV per formula unit: -163.74
data_MnP2H8O10
_chemical_formula_sum 'Mn2 P4 H16 O20'
_symmetry_space_group_name_H-M 'P 1 21/c 1'
_symmetry_Int_Tables_number 14
_cell_length_a 5.236
_cell_length_b 10.173
_cell_length_c 8.593
_cell_angle_alpha 90.00
_cell_angle_beta 124.86
_cell_angle_gamma 90.00
loop_
_symmetry_equiv_pos_as_xyz
'x,y,z'
'-x,-y,-z'
'-x,y+1/2,-z+1/2'
'x,-y+1/2,z+1/2'
loop_
_atom_site_label
_atom_site_type_symbol
_atom_site_fract_x
_atom_site_fract_y
_atom_site_fract_z
Mn1 Mn 0.000 0.000 0.000
P1 P 0.093 0.218 0.339
H1 H 0.126 0.733 0.007
H2 H 0.372 0.075 0.818
H3 H 0.387 0.554 0.217
H4 H 0.439 0.101 0.604
O1 O 0.026 0.670 0.361
O2 O 0.140 0.133 0.862
O3 O 0.157 0.678 0.121
O4 O 0.401 0.143 0.481
O5 O 0.498 0.032 0.775